(1)
# BaLiErTe3 PBE-GGA optimized geometry
# Excess energy over the best structure of this formula in the dataset ... 0.6 meV per atom
# Uncorrected energy ... -4.433 eV per atom
# M_tot ... 0.0 Bohr magnetons per cell
data_BaLiErTe3
_symmetry_space_group_name_H-M 'P n m a'
_symmetry_Int_Tables_number 62
_symmetry_space_group_name_Hall '-P 2ac 2n'
_cell_length_a 11.422
_cell_length_b 4.521
_cell_length_c 14.942
_cell_angle_alpha 90.00
_cell_angle_beta 90.00
_cell_angle_gamma 90.00
loop_
_atom_site_label
_atom_site_fract_x
_atom_site_fract_y
_atom_site_fract_z
Ba1 0.244 0.250 0.001
Li1 0.245 0.750 0.221
Er1 0.007 0.750 0.748
Te1 0.049 0.750 0.115
Te2 0.061 0.250 0.613
Te3 0.244 0.250 0.323

---

(2)
# BaLiErTe3 PBE-GGA optimized geometry
# Excess energy over the best structure of this formula in the dataset ... 23.7 meV per atom
# Uncorrected energy ... -4.410 eV per atom
# M_tot ... 0.0 Bohr magnetons per cell
data_BaLiErTe3
_symmetry_space_group_name_H-M 'C 1 2/m 1'
_symmetry_Int_Tables_number 12
_symmetry_space_group_name_Hall '-C 2y'
_cell_length_a 19.239
_cell_length_b 4.513
_cell_length_c 9.498
_cell_angle_alpha 90.00
_cell_angle_beta 103.62
_cell_angle_gamma 90.00
loop_
_atom_site_label
_atom_site_fract_x
_atom_site_fract_y
_atom_site_fract_z
Ba1 0.136 0.000 0.067
Li1 0.007 0.500 0.699
Er1 0.165 0.000 0.583
Te1 0.000 0.000 0.500
Te2 0.000 0.500 0.000
Te3 0.170 0.500 0.364
Te4 0.173 0.500 0.803

---

(3)
# BaErLu PBE-GGA optimized geometry
# Excess energy over the best structure of this formula in the dataset ... 0.0 meV per atom
# Uncorrected energy ... -2.830 eV per atom
# M_tot ... 0.1 Bohr magnetons per cell
data_BaErLu
_symmetry_space_group_name_H-M 'F -4 3 m'
_symmetry_Int_Tables_number 216
_symmetry_space_group_name_Hall 'F -4 2 3'
_cell_length_a 8.089
_cell_length_b 8.089
_cell_length_c 8.089
_cell_angle_alpha 90.00
_cell_angle_beta 90.00
_cell_angle_gamma 90.00
loop_
_atom_site_label
_atom_site_fract_x
_atom_site_fract_y
_atom_site_fract_z
Ba1 0.000 0.000 0.000
Er1 0.000 0.000 0.500
Lu1 0.250 0.250 0.250

---

(4)
# BaErMg PBE-GGA optimized geometry
# Uncorrected energy ... -2.231 eV per atom
# M_tot ... 0.1 Bohr magnetons per cell
data_BaErMg
_symmetry_space_group_name_H-M 'F -4 3 m'
_symmetry_Int_Tables_number 216
_symmetry_space_group_name_Hall 'F -4 2 3'
_cell_length_a 7.980
_cell_length_b 7.980
_cell_length_c 7.980
_cell_angle_alpha 90.00
_cell_angle_beta 90.00
_cell_angle_gamma 90.00
loop_
_atom_site_label
_atom_site_fract_x
_atom_site_fract_y
_atom_site_fract_z
Ba1 0.000 0.000 0.000
Er1 0.000 0.000 0.500
Mg1 0.250 0.250 0.250

---

| no. | ρ (g/cm3) |
| --- | --- |
| 1 | 5.976 |
| 2 | 5.755 |
| 3 | 6.018 |
| 4 | 4.298 |